# 1
A plane-wave DFT calculation with PBE was carried out for an optimized crystal structure of CaSiNi.

```
data_CaSiNi
_chemical_formula_sum 'Ca2 Si2 Ni2'
_symmetry_space_group_name_H-M 'P -1'
_symmetry_Int_Tables_number 2
_symmetry_space_group_name_Hall '-P 1'
_cell_length_a 4.067
_cell_length_b 5.631
_cell_length_c 5.746
_cell_angle_alpha 76.19
_cell_angle_beta 69.54
_cell_angle_gamma 68.85
loop_
_atom_site_label
_atom_site_type_symbol
_atom_site_fract_x
_atom_site_fract_y
_atom_site_fract_z
_atom_site_occupancy
Ca1 Ca 0.059 0.206 0.173 1
Si1 Si 0.344 0.209 0.602 1
Ni1 Ni 0.269 0.602 0.359 1
```

## Properties
Energy   -4.927 eV per atom
Spin magnetization   0.00 Bohr magnetons per cell
Formation energy without anion corrections   -1.57 eV/f.u.
Calculated volume   19.01 Å³ per atom

# 2
A plane-wave DFT calculation with PBE was carried out for an optimized crystal structure of Ca2Si3Ni4.

```
data_Ca2Si3Ni4
_chemical_formula_sum 'Ca8 Si12 Ni16'
_symmetry_space_group_name_H-M 'C m c e'
_symmetry_Int_Tables_number 64
_symmetry_space_group_name_Hall '-C 2ac 2'
_cell_length_a 5.244
_cell_length_b 14.504
_cell_length_c 7.016
_cell_angle_alpha 90.00
_cell_angle_beta 90.00
_cell_angle_gamma 90.00
loop_
_atom_site_label
_atom_site_type_symbol
_atom_site_fract_x
_atom_site_fract_y
_atom_site_fract_z
_atom_site_occupancy
Ca1 Ca 0.000 0.102 0.096 1
Si1 Si 0.000 0.000 0.500 1
Si2 Si 0.250 0.233 0.750 1
Ni1 Ni 0.000 0.184 0.492 1
Ni2 Ni 0.250 0.073 0.750 1
```

## Properties
Energy   -5.324 eV per atom
Spin magnetization   0.00 Bohr magnetons per cell
Formation energy without anion corrections   -4.52 eV/f.u.
Calculated volume   14.82 Å³ per atom